(1)
VASP calculation (GGA-PBE) on an optimized crystal structure of NbBrN3.

The structure in CIF format:
```
data_NbBrN3
_cell_length_a 3.823
_cell_length_b 3.823
_cell_length_c 3.823
_cell_angle_alpha 90.00
_cell_angle_beta 90.00
_cell_angle_gamma 90.00
_symmetry_space_group_name_H-M 'P m -3 m'
_symmetry_Int_Tables_number 221
_symmetry_space_group_name_Hall '-P 4 2 3'
loop_
_atom_site_label
_atom_site_type_symbol
_atom_site_fract_x
_atom_site_fract_y
_atom_site_fract_z
_atom_site_occupancy
Nb1 Nb 0.000 0.000 0.000 1
Br1 Br 0.500 0.500 0.500 1
N1 N 0.000 0.500 0.500 1
```

Calculated values
Formation energy (no corrections)   208 kJ/mol of atoms
DFT total energy   -25.963 eV for the cell shown
Spin magnetization   1.0 Bohr magnetons per cell

(2)
VASP calculation (GGA-PBE) on an optimized crystal structure of NbBr2N.

The structure in CIF format:
```
data_NbBr2N
_cell_length_a 6.409
_cell_length_b 6.409
_cell_length_c 6.409
_cell_angle_alpha 90.00
_cell_angle_beta 90.00
_cell_angle_gamma 90.00
_symmetry_space_group_name_H-M 'F m -3 m'
_symmetry_Int_Tables_number 225
_symmetry_space_group_name_Hall '-F 4 2 3'
loop_
_atom_site_label
_atom_site_type_symbol
_atom_site_fract_x
_atom_site_fract_y
_atom_site_fract_z
_atom_site_occupancy
Nb1 Nb 0.000 0.000 0.000 1
Br1 Br 0.250 0.250 0.250 1
N1 N 0.000 0.000 0.500 1
```

Calculated values
Formation energy (no corrections)   108 kJ/mol of atoms
DFT total energy   -68.972 eV for the cell shown
Spin magnetization   0.0 Bohr magnetons per cell
Distance to the lowest polymorph of the same formula   0.000 eV per formula unit

(3)
VASP calculation (GGA-PBE) on an optimized crystal structure of NbBr2N2.

The structure in CIF format:
```
data_NbBr2N2
_cell_length_a 6.951
_cell_length_b 6.951
_cell_length_c 3.760
_cell_angle_alpha 90.00
_cell_angle_beta 90.00
_cell_angle_gamma 90.00
_symmetry_space_group_name_H-M 'P 4/m b m'
_symmetry_Int_Tables_number 127
_symmetry_space_group_name_Hall '-P 4 2ab'
loop_
_atom_site_label
_atom_site_type_symbol
_atom_site_fract_x
_atom_site_fract_y
_atom_site_fract_z
_atom_site_occupancy
Nb1 Nb 0.000 0.000 0.000 1
Br1 Br 0.162 0.338 0.000 1
N1 N 0.247 0.253 0.500 1
```

Calculated values
Formation energy (no corrections)   167 kJ/mol of atoms
DFT total energy   -42.860 eV for the cell shown
Spin magnetization   3.1 Bohr magnetons per cell

(4)
VASP calculation (GGA-PBE) on an optimized crystal structure of NbBrN3.

The structure in CIF format:
```
data_NbBrN3
_cell_length_a 4.143
_cell_length_b 4.143
_cell_length_c 4.143
_cell_angle_alpha 90.00
_cell_angle_beta 90.00
_cell_angle_gamma 90.00
_symmetry_space_group_name_H-M 'P m -3 m'
_symmetry_Int_Tables_number 221
_symmetry_space_group_name_Hall '-P 4 2 3'
loop_
_atom_site_label
_atom_site_type_symbol
_atom_site_fract_x
_atom_site_fract_y
_atom_site_fract_z
_atom_site_occupancy
Nb1 Nb 0.000 0.000 0.000 1
Br1 Br 0.500 0.500 0.500 1
N1 N 0.000 0.000 0.500 1
```

Calculated values
Formation energy (no corrections)   113 kJ/mol of atoms
DFT total energy   -30.850 eV for the cell shown
Spin magnetization   1.3 Bohr magnetons per cell

(5)
VASP calculation (GGA-PBE) on an optimized crystal structure of Nb2BrN.

The structure in CIF format:
```
data_Nb2BrN
_cell_length_a 6.137
_cell_length_b 6.137
_cell_length_c 6.137
_cell_angle_alpha 90.00
_cell_angle_beta 90.00
_cell_angle_gamma 90.00
_symmetry_space_group_name_H-M 'F m -3 m'
_symmetry_Int_Tables_number 225
_symmetry_space_group_name_Hall '-F 4 2 3'
loop_
_atom_site_label
_atom_site_type_symbol
_atom_site_fract_x
_atom_site_fract_y
_atom_site_fract_z
_atom_site_occupancy
Nb1 Nb 0.250 0.250 0.250 1
Br1 Br 0.000 0.000 0.000 1
N1 N 0.000 0.000 0.500 1
```

Calculated values
Formation energy (no corrections)   61 kJ/mol of atoms
DFT total energy   -110.386 eV for the cell shown
Spin magnetization   5.9 Bohr magnetons per cell
Distance to the lowest polymorph of the same formula   2.469 eV per formula unit

(6)
VASP calculation (GGA-PBE) on an optimized crystal structure of Nb2BrN.

The structure in CIF format:
```
data_Nb2BrN
_cell_length_a 4.952
_cell_length_b 4.952
_cell_length_c 12.381
_cell_angle_alpha 90.00
_cell_angle_beta 90.00
_cell_angle_gamma 90.00
_symmetry_space_group_name_H-M 'I -4 2 d'
_symmetry_Int_Tables_number 122
_symmetry_space_group_name_Hall 'I -4 2bw'
loop_
_atom_site_label
_atom_site_type_symbol
_atom_site_fract_x
_atom_site_fract_y
_atom_site_fract_z
_atom_site_occupancy
Nb1 Nb 0.136 0.250 0.125 1
Br1 Br 0.000 0.000 0.500 1
N1 N 0.000 0.000 0.000 1
```

Calculated values
Formation energy (no corrections)   2 kJ/mol of atoms
DFT total energy   -120.261 eV for the cell shown
Spin magnetization   0.0 Bohr magnetons per cell
Distance to the lowest polymorph of the same formula   0.000 eV per formula unit

(7)
VASP calculation (GGA-PBE) on an optimized crystal structure of Nb3Br7N.

The structure in CIF format:
```
data_Nb3Br7N
_cell_length_a 7.1980
_cell_length_b 7.1980
_cell_length_c 7.0055
_cell_angle_alpha 90.00
_cell_angle_beta 90.00
_cell_angle_gamma 120.00
_symmetry_space_group_name_H-M 'P 3 m 1'
_symmetry_Int_Tables_number 156
_symmetry_space_group_name_Hall 'P 3 -2"'
loop_
_atom_site_label
_atom_site_type_symbol
_atom_site_fract_x
_atom_site_fract_y
_atom_site_fract_z
_atom_site_occupancy
Nb1 Nb 0.0634 0.5317 0.0000 1
Br1 Br 0.1650 0.3299 0.2469 1
Br2 Br 0.3310 0.1655 0.7902 1
Br3 Br 0.6667 0.3333 0.2039 1
N1 N 0.3333 0.6667 0.8391 1
```

Calculated values
Formation energy (no corrections)   -76 kJ/mol of atoms
DFT total energy   -58.866 eV for the cell shown
Spin magnetization   1.0 Bohr magnetons per cell

(8)
VASP calculation (GGA-PBE) on an optimized crystal structure of Rb2NbBr6N.

The structure in CIF format:
```
data_Rb2NbBr6N
_cell_length_a 8.452
_cell_length_b 8.452
_cell_length_c 9.227
_cell_angle_alpha 90.00
_cell_angle_beta 90.00
_cell_angle_gamma 90.00
_symmetry_space_group_name_H-M 'I 4/m m m'
_symmetry_Int_Tables_number 139
_symmetry_space_group_name_Hall '-I 4 2'
loop_
_atom_site_label
_atom_site_type_symbol
_atom_site_fract_x
_atom_site_fract_y
_atom_site_fract_z
_atom_site_occupancy
Rb1 Rb 0.000 0.500 0.250 1
Nb1 Nb 0.000 0.000 0.000 1
Br1 Br 0.000 0.000 0.274 1
Br2 Br 0.220 0.220 0.000 1
N1 N 0.000 0.000 0.500 1
```

Calculated values
Formation energy (no corrections)   -51 kJ/mol of atoms
DFT total energy   -71.335 eV for the cell shown
Spin magnetization   0.0 Bohr magnetons per cell